[1]
VASP calculation (PBE-GGA) on a relaxed structure of Cs3YGa2O6.

Cell lengths 6.264, 6.264, 7.788 Å; angles 90.00, 90.00, 120.00 degrees
Atoms (fractional coordinates):
Ga 0.667 0.333 0.677
O 0.664 0.832 0.317
O 0.168 0.336 0.317
O 0.832 0.664 0.683
O 0.832 0.168 0.683
O 0.336 0.168 0.683
Y 0.000 0.000 0.500
Cs 0.333 0.667 0.760
Ga 0.333 0.667 0.323
O 0.168 0.832 0.317
Cs 0.667 0.333 0.240
Cs 0.000 0.000 0.000

Symmetry ... No. 164
Uncorrected formation energy ... -2288.2 kJ/mol of formula units

***

[2]
VASP calculation (PBE-GGA) on a relaxed structure of Cs4Y3GaO8.

Cell lengths 6.986, 7.945, 6.994 Å; angles 116.12, 119.96, 90.00 degrees
Atoms (fractional coordinates):
Cs 0.000 0.000 0.500
O 0.261 0.338 0.050
Cs 0.000 0.000 0.000
O 0.789 0.338 0.050
O 0.213 0.663 0.427
Cs 0.500 0.000 0.500
Cs 0.500 0.000 0.000
Y 0.500 0.500 0.000
O 0.787 0.337 0.573
O 0.211 0.662 0.950
O 0.721 0.664 0.442
O 0.739 0.662 0.950
Y 0.500 0.500 0.500
O 0.279 0.336 0.558
Y 0.000 0.500 0.500
Ga 0.000 0.500 0.000

Symmetry ... No. 12
Uncorrected formation energy ... -3471.5 kJ/mol of formula units

***

[3]
VASP calculation (PBE-GGA) on a relaxed structure of CsZrGaO4.

Cell lengths 5.616, 5.854, 8.937 Å; angles 90.00, 120.82, 90.00 degrees
Atoms (fractional coordinates):
Cs 0.618 0.750 0.909
Cs 0.382 0.250 0.091
O 0.021 0.478 0.651
Ga 0.223 0.750 0.352
O 0.021 0.022 0.651
O 0.457 0.250 0.429
Zr 0.804 0.750 0.473
O 0.979 0.522 0.349
O 0.543 0.750 0.571
Ga 0.777 0.250 0.648
O 0.586 0.250 0.765
Zr 0.196 0.250 0.527
O 0.979 0.978 0.349
O 0.414 0.750 0.235

Symmetry ... No. 11
Uncorrected formation energy ... -1590.5 kJ/mol of formula units

***

> Which value of uncorrected formation energy does entry 1 give?

-2288.2 kJ/mol of formula units